TlNiSbF6: relaxed, GGA+U.

Computed properties:
* ρ: 5.16 g/cm³
* crystal system: triclinic
* E: -4.4115 eV/atom
* size of the total moment: 0.2240 μB/atom

Cell lengths 5.605, 5.740, 5.742 Å; angles 119.58, 90.24, 90.01 degrees
Sites, in units of the cell vectors:
Tl 0.000 0.000 0.000
Ni 0.530 0.333 0.668
Sb 0.479 0.668 0.334
F 0.342 0.644 0.938
F 0.346 0.057 0.708
F 0.346 0.293 0.352
F 0.720 0.437 0.023
F 0.720 0.586 0.568
F 0.721 0.983 0.418